[1]
# Ba2Ho2CuPtO8

Ba2Ho2CuPtO8 at its PBEsol-relaxed geometry (meta-GGA SCAN, Alexandria).

Structure (CIF):
```
data_Ba2Ho2CuPtO8
_space_group_name_H-M_alt 'P 1'
_space_group_IT_number 1
_cell_length_a 5.6416
_cell_length_b 10.2576
_cell_length_c 13.1006
_cell_angle_alpha 90.00
_cell_angle_beta 90.00
_cell_angle_gamma 90.00
loop_
_space_group_symop_operation_xyz
'x,y,z'
loop_
_atom_site_label
_atom_site_fract_x
_atom_site_fract_y
_atom_site_fract_z
_atom_site_occupancy
Ba1 0.2500 0.4084 0.4232 1
Ba2 0.7500 0.5916 0.5768 1
Ba3 0.7500 0.9084 0.0768 1
Ba4 0.2500 0.0916 0.9232 1
Ba5 0.2500 0.6869 0.2071 1
Ba6 0.7500 0.3131 0.7929 1
Ba7 0.7500 0.1869 0.2929 1
Ba8 0.2500 0.8131 0.7071 1
Ho1 0.2500 0.0137 0.4165 1
Ho2 0.7500 0.9863 0.5835 1
Ho3 0.7500 0.5137 0.0835 1
Ho4 0.2500 0.4863 0.9165 1
Ho5 0.2500 0.3136 0.1419 1
Ho6 0.7500 0.6864 0.8581 1
Ho7 0.7500 0.8136 0.3581 1
Ho8 0.2500 0.1864 0.6419 1
Cu1 0.2500 0.7335 0.4607 1
Cu2 0.7500 0.2665 0.5393 1
Cu3 0.7500 0.2335 0.0393 1
Cu4 0.2500 0.7665 0.9607 1
Pt1 0.2500 0.0337 0.1936 1
Pt2 0.7500 0.9663 0.8064 1
Pt3 0.7500 0.5337 0.3064 1
Pt4 0.2500 0.4663 0.6936 1
O1 0.2500 0.1867 0.2962 1
O2 0.7500 0.8133 0.7038 1
O3 0.7500 0.6867 0.2038 1
O4 0.2500 0.3133 0.7962 1
O5 0.5090 0.4437 0.2173 1
O6 0.4910 0.5563 0.7827 1
O7 0.4910 0.9437 0.2827 1
O8 0.0090 0.5563 0.7827 1
O9 0.5090 0.0563 0.7173 1
O10 0.9910 0.4437 0.2173 1
O11 0.9910 0.0563 0.7173 1
O12 0.0090 0.9437 0.2827 1
O13 0.0074 0.1402 0.1136 1
O14 0.9926 0.8598 0.8864 1
O15 0.9926 0.6402 0.3864 1
O16 0.5074 0.8598 0.8864 1
O17 0.0074 0.3598 0.6136 1
O18 0.4926 0.1402 0.1136 1
O19 0.4926 0.3598 0.6136 1
O20 0.5074 0.6402 0.3864 1
O21 0.5063 0.3642 0.0072 1
O22 0.4937 0.6358 0.9928 1
O23 0.4937 0.8642 0.4928 1
O24 0.0063 0.6358 0.9928 1
O25 0.5063 0.1358 0.5072 1
O26 0.9937 0.3642 0.0072 1
O27 0.9937 0.1358 0.5072 1
O28 0.0063 0.8642 0.4928 1
O29 0.2500 0.6071 0.5872 1
O30 0.7500 0.3929 0.4128 1
O31 0.7500 0.1071 0.9128 1
O32 0.2500 0.8929 0.0872 1
```

Properties
Energy relative to the elements, uncorrected in eV per atom: -2.6033
Space-group type: Pnma

***

[2]
# BaCu3I

BaCu3I at its PBEsol-relaxed geometry (meta-GGA SCAN, Alexandria).

Structure (CIF):
```
data_BaCu3I
_space_group_name_H-M_alt 'P 1'
_space_group_IT_number 1
_cell_length_a 5.0537
_cell_length_b 5.0537
_cell_length_c 5.0537
_cell_angle_alpha 90.00
_cell_angle_beta 90.00
_cell_angle_gamma 90.00
loop_
_space_group_symop_operation_xyz
'x,y,z'
loop_
_atom_site_label
_atom_site_fract_x
_atom_site_fract_y
_atom_site_fract_z
_atom_site_occupancy
I1 0.0000 0.0000 0.0000 1
Ba1 0.5000 0.5000 0.5000 1
Cu1 0.0000 0.5000 0.0000 1
Cu2 0.0000 0.0000 0.5000 1
Cu3 0.5000 0.0000 0.0000 1
```

Properties
Energy relative to the elements, uncorrected in eV per atom: 0.6802
Space-group type: Pm-3m

***

[3]
# BaCuSb2I

BaCuSb2I at its PBEsol-relaxed geometry (meta-GGA SCAN, Alexandria).

Structure (CIF):
```
data_BaCuSb2I
_space_group_name_H-M_alt 'P 1'
_space_group_IT_number 1
_cell_length_a 4.9775
_cell_length_b 4.9775
_cell_length_c 6.2828
_cell_angle_alpha 90.00
_cell_angle_beta 90.00
_cell_angle_gamma 90.00
loop_
_space_group_symop_operation_xyz
'x,y,z'
loop_
_atom_site_label
_atom_site_fract_x
_atom_site_fract_y
_atom_site_fract_z
_atom_site_occupancy
I1 0.0000 0.0000 0.5000 1
Sb1 0.0000 0.5000 0.0000 1
Sb2 0.5000 0.0000 0.0000 1
Ba1 0.5000 0.5000 0.5000 1
Cu1 0.0000 0.0000 0.0000 1
```

Properties
Energy relative to the elements, uncorrected in eV per atom: -0.4091
Space-group type: P4/mmm

***

[4]
# BaIn3Cu

BaIn3Cu at its PBEsol-relaxed geometry (meta-GGA SCAN, Alexandria).

Structure (CIF):
```
data_BaIn3Cu
_space_group_name_H-M_alt 'P 1'
_space_group_IT_number 1
_cell_length_a 4.7003
_cell_length_b 4.7003
_cell_length_c 6.6790
_cell_angle_alpha 110.60
_cell_angle_beta 110.60
_cell_angle_gamma 90.00
loop_
_space_group_symop_operation_xyz
'x,y,z'
loop_
_atom_site_label
_atom_site_fract_x
_atom_site_fract_y
_atom_site_fract_z
_atom_site_occupancy
Ba1 0.9866 0.9866 0.9731 1
Cu1 0.3586 0.3586 0.7171 1
In1 0.7475 0.2475 0.4950 1
In2 0.2475 0.7475 0.4950 1
In3 0.5843 0.5843 0.1685 1
```

Properties
Calculated formation energy in eV per atom: -0.41
Space-group type: I4mm

***

[5]
# Ba2InCu

Ba2InCu at its PBEsol-relaxed geometry (meta-GGA SCAN, Alexandria).

Structure (CIF):
```
data_Ba2InCu
_space_group_name_H-M_alt 'P 1'
_space_group_IT_number 1
_cell_length_a 4.3503
_cell_length_b 4.3503
_cell_length_c 9.4730
_cell_angle_alpha 76.73
_cell_angle_beta 76.73
_cell_angle_gamma 60.00
loop_
_space_group_symop_operation_xyz
'x,y,z'
loop_
_atom_site_label
_atom_site_fract_x
_atom_site_fract_y
_atom_site_fract_z
_atom_site_occupancy
Ba1 0.7398 0.7398 0.7807 1
Ba2 0.2602 0.2602 0.2193 1
Cu1 0.0000 0.0000 0.0000 1
In1 0.5000 0.5000 0.5000 1
```

Properties
Calculated formation energy in eV per atom: -0.02
Space-group type: R-3m

***

[6]
# Ba2InCu

Ba2InCu at its PBEsol-relaxed geometry (meta-GGA SCAN, Alexandria).

Structure (CIF):
```
data_Ba2InCu
_space_group_name_H-M_alt 'P 1'
_space_group_IT_number 1
_cell_length_a 3.9185
_cell_length_b 3.9185
_cell_length_c 8.4647
_cell_angle_alpha 90.00
_cell_angle_beta 90.00
_cell_angle_gamma 90.00
loop_
_space_group_symop_operation_xyz
'x,y,z'
loop_
_atom_site_label
_atom_site_fract_x
_atom_site_fract_y
_atom_site_fract_z
_atom_site_occupancy
Ba1 0.0000 0.0000 0.7733 1
Ba2 0.0000 0.0000 0.2267 1
Cu1 0.5000 0.5000 0.0000 1
In1 0.5000 0.5000 0.5000 1
```

Properties
Calculated formation energy in eV per atom: -0.18
Space-group type: P4/mmm

***

| no. | total magnetic moment (μB per cell) | volume (Å³ per atom) | electronic total energy (eV/cell) |
| --- | --- | --- | --- |
| 1 | 4.2 | 13.54 | -1395.06 |
| 2 | 0.0 | 25.81 | -118.49 |
| 3 | 0.0 | 31.13 | -168.06 |
| 4 | 0.0 | 25.60 | -156.97 |
| 5 | 0.0 | 37.43 | -127.76 |
| 6 | 0.0 | 32.49 | -128.41 |